Arrangement P

Entry from Alexandria via LeMat-Bulk: crystalline VInFe3 at its relaxed geometry (PBE).

Summary:
Total magnetization in μB/atom: 2.21
N(E_F) in states/eV/f.u.: 11.073

Geometry as extended XYZ:
```
5
Lattice="4.720 0.000 0.000 0.000 4.720 0.000 0.000 0.000 4.720" Properties=species:S:1:pos:R:3 pbc="T T T"
Fe 0.000 2.360 0.000
Fe 0.000 0.000 2.360
Fe 2.360 0.000 0.000
V 2.360 2.360 2.360
In 0.000 0.000 0.000
```

***

Arrangement Q

Entry from Alexandria via LeMat-Bulk: crystalline VInFe3 at its relaxed geometry (PBE).

Summary:
Total magnetization in μB/atom: 0.84
N(E_F) in states/eV/f.u.: 4.746

Geometry as extended XYZ:
```
5
Lattice="-0.478 -4.195 0.901 -0.642 -0.826 -4.188 4.242 -0.598 -0.533" Properties=species:S:1:pos:R:3 pbc="T T T"
In 1.561 -2.810 -1.910
V 0.000 0.000 0.000
Fe -0.321 -0.413 -2.094
Fe -0.239 -2.097 0.450
Fe 2.121 -0.299 -0.266
```

***

Result of the stability comparison: arrangement Q is the most stable of them.

***

Arrangement P

Entry from Alexandria via LeMat-Bulk: crystalline In2FeW at its relaxed geometry (PBE).

Summary:
Total magnetization in μB/atom: 0.72
N(E_F) in states/eV/f.u.: 4.181

Geometry as extended XYZ:
```
4
Lattice="2.751 3.009 2.202 -1.036 1.364 4.305 2.596 -1.417 3.567" Properties=species:S:1:pos:R:3 pbc="T T T"
In 3.233 2.217 7.556
In 1.078 0.739 2.519
W 2.155 1.478 5.037
Fe 0.000 0.000 0.000
```

***

Arrangement Q

Entry from Alexandria via LeMat-Bulk: crystalline In2FeW at its relaxed geometry (PBE).

Summary:
Total magnetization in μB/atom: 0.51
N(E_F) in states/eV/f.u.: 6.066

Geometry as extended XYZ:
```
4
Lattice="4.635 0.000 0.000 2.318 4.014 0.000 2.318 1.338 3.784" Properties=species:S:1:pos:R:3 pbc="T T T"
Fe 4.635 2.676 1.892
W 2.318 1.338 0.946
In 6.953 4.014 2.838
In 0.000 0.000 0.000
```

***

Result of the stability comparison: arrangement P is the most stable of them.